Record 1
A crystal of LaSbSe2 relaxed with PBEsol, computed with meta-GGA SCAN.

Lattice parameters (Å, degrees): 3.9595 4.4933 5.4820 90.00 90.00 90.00
Closest atoms and distances in Å follow each position.
Fractional positions:
1 La 0.0000 0.0000 0.0000  4 Se 2.99
2 Sb 0.0000 0.5000 0.5000  4 Se 2.99
3 Se 0.5000 0.0000 0.5000  4 Sb 2.99
4 Se 0.5000 0.5000 0.0000  4 La 2.99

Computed properties:
**Magnetic moment**: 0.0 Bohr magnetons per cell
**DOS at the Fermi energy**: 0.456 states/eV/atom
**Uncorrected energy**: -31.27 eV per atom
**Formation energy from raw total energies**: -1.135 eV per atom
**Relative energy among the computed polymorphs**: 1.83 kJ per mole of atoms
**Crystal system**: orthorhombic


Record 2
A crystal of MnFe2W relaxed with PBEsol, computed with meta-GGA SCAN.

Lattice parameters (Å, degrees): 4.7621 4.7621 4.7621 143.38 130.72 62.93
Closest atoms and distances in Å follow each position.
Fractional positions:
1 Mn 0.0000 0.0000 0.0000  4 W 2.49, 4 Fe 2.51
2 Fe 0.2474 0.7474 0.5000  4 Fe 2.49, 2 Mn 2.51, 2 W 2.54
3 Fe 0.7526 0.2526 0.5000  4 Fe 2.49, 2 Mn 2.51, 2 W 2.54
4 W 0.5000 0.5000 0.0000  4 Mn 2.49, 4 Fe 2.54

Computed properties:
**Magnetic moment**: 5.9 Bohr magnetons per cell
**DOS at the Fermi energy**: 0.503 states/eV/atom
**Uncorrected energy**: -31.01 eV per atom
**E_form**: 0.042 eV/atom
**Relative energy among the computed polymorphs**: 3.60 kJ per mole of atoms
**Crystal system**: orthorhombic


Record 3
A crystal of RbZr2SeN relaxed with PBEsol, computed with meta-GGA SCAN.

Lattice parameters (Å, degrees): 5.0723 5.0723 4.0712 90.00 90.00 90.00
Closest atoms and distances in Å follow each position.
Fractional positions:
1 Rb 0.0000 0.0000 0.0000  2 N 2.04
2 Zr 0.0000 0.5000 0.0000  2 Rb 2.54
3 Zr 0.5000 0.0000 0.0000  2 Rb 2.54
4 Se 0.5000 0.5000 0.5000  8 Zr 3.25, 4 N 3.59
5 N 0.0000 0.0000 0.5000  2 Rb 2.04

Computed properties:
**Magnetic moment**: 0.0 Bohr magnetons per cell
**DOS at the Fermi energy**: 1.097 states/eV/atom
**Uncorrected energy**: -20.24 eV per atom
**Formation energy from raw total energies**: 2.065 eV per atom
**Crystal system**: tetragonal


Record 4
A crystal of SrRe2Tc relaxed with PBEsol, computed with meta-GGA SCAN.

Lattice parameters (Å, degrees): 5.6036 5.6036 5.6036 149.06 126.26 63.31
Closest atoms and distances in Å follow each position.
Fractional positions:
1 Sr 0.0000 0.0000 0.0000  8 Re 2.94-3.24, 2 Sr 2.99, 4 Tc 3.09-3.27
2 Re 0.4979 0.4979 0.0000  2 Tc 2.53, 2 Re 2.54
3 Re 0.7126 0.2126 0.5000  2 Re 2.54
4 Tc 0.2839 0.7839 0.5000  2 Re 2.53

Computed properties:
**Magnetic moment**: 0.0 Bohr magnetons per cell
**DOS at the Fermi energy**: 0.662 states/eV/atom
**Uncorrected energy**: -48.98 eV per atom
**E_form**: 0.902 eV/atom
**Relative energy among the computed polymorphs**: 16.33 kJ per mole of atoms
**Crystal system**: orthorhombic